1.
The following is a PBE-GGA calculation of a relaxed structure of Rb3Th3BeS8, from Alexandria via LeMat-Bulk.

Values from the calculation:
mass density = 4.501 g/cm³
formation energy (no corrections) = -1.50 eV per atom
N(E_F) = 0.201 states/eV per atom
SG = C2/m, No. 12
spin magnetization = 0.0 Bohr magnetons per cell

Cell lengths 8.1034, 8.1034, 9.1837 Å; angles 116.18, 116.18, 60.00 degrees
Fractional positions:
1 Rb 0.0000 0.0000 0.0000
2 Rb 0.0000 0.5000 0.0000
3 Rb 0.5000 0.0000 0.0000
4 Th 0.0000 0.5000 0.5000
5 Th 0.5000 0.0000 0.5000
6 Th 0.5000 0.5000 0.5000
7 Be 0.0000 0.0000 0.5000
8 S 0.2084 0.2084 0.6713
9 S 0.2112 0.7517 0.6735
10 S 0.2483 0.7888 0.3265
11 S 0.2638 0.2638 0.2915
12 S 0.7362 0.7362 0.7085
13 S 0.7517 0.2112 0.6735
14 S 0.7888 0.2483 0.3265
15 S 0.7916 0.7916 0.3287

2.
The following is a PBE-GGA calculation of a relaxed structure of AsSBrN2, from Alexandria via LeMat-Bulk.

Values from the calculation:
mass density = 3.524 g/cm³
formation energy (no corrections) = 2.12 eV per atom
relative energy among the computed polymorphs = 0.7476 eV/atom
N(E_F) = 0.655 states/eV per atom
SG = P4/mmm, No. 123
spin magnetization = 1.4 Bohr magnetons per cell

Cell lengths 3.7710, 3.7710, 7.1206 Å; angles 90.00, 90.00, 90.00 degrees
Fractional positions:
1 As 0.0000 0.0000 0.0000
2 S 0.5000 0.5000 0.0000
3 Br 0.5000 0.5000 0.5000
4 N 0.0000 0.5000 0.5000
5 N 0.5000 0.0000 0.5000

3.
The following is a PBE-GGA calculation of a relaxed structure of NdZnCu5, from Alexandria via LeMat-Bulk.

Values from the calculation:
mass density = 8.180 g/cm³
energy of formation = -184 meV/atom
N(E_F) = 0.449 states/eV per atom
SG = Pnma, No. 62
spin magnetization = 0.0 Bohr magnetons per cell

Cell lengths 8.1631, 5.1062, 10.2740 Å; angles 90.00, 90.00, 90.00 degrees
Fractional positions:
1 Nd 0.2404 0.2500 0.0617
2 Nd 0.2596 0.7500 0.5617
3 Nd 0.7404 0.2500 0.4383
4 Nd 0.7596 0.7500 0.9383
5 Zn 0.1440 0.7500 0.8599
6 Zn 0.3560 0.2500 0.3599
7 Zn 0.6440 0.7500 0.6401
8 Zn 0.8560 0.2500 0.1401
9 Cu 0.0632 0.7500 0.0995
10 Cu 0.0660 0.0045 0.3094
11 Cu 0.0660 0.4955 0.3094
12 Cu 0.0933 0.2500 0.5158
13 Cu 0.1817 0.2500 0.7525
14 Cu 0.3183 0.7500 0.2525
15 Cu 0.4067 0.7500 0.0158
16 Cu 0.4340 0.5045 0.8094
17 Cu 0.4340 0.9955 0.8094
18 Cu 0.4368 0.2500 0.5995
19 Cu 0.5632 0.7500 0.4005
20 Cu 0.5660 0.0045 0.1906
21 Cu 0.5660 0.4955 0.1906
22 Cu 0.5933 0.2500 0.9842
23 Cu 0.6817 0.2500 0.7475
24 Cu 0.8183 0.7500 0.2475
25 Cu 0.9067 0.7500 0.4842
26 Cu 0.9340 0.5045 0.6906
27 Cu 0.9340 0.9955 0.6906
28 Cu 0.9368 0.2500 0.9005

4.
The following is a PBE-GGA calculation of a relaxed structure of LaDyHo2, from Alexandria via LeMat-Bulk.

Values from the calculation:
mass density = 7.909 g/cm³
energy of formation = 118 meV/atom
relative energy among the computed polymorphs = 0.1079 eV/atom
N(E_F) = 1.828 states/eV per atom
SG = Fm-3m, No. 225
spin magnetization = 0.0 Bohr magnetons per cell

Cell lengths 5.7230, 5.7230, 5.7230 Å; angles 60.00, 60.00, 60.00 degrees
Fractional positions:
1 La 0.0000 0.0000 0.0000
2 Dy 0.5000 0.5000 0.5000
3 Ho 0.2500 0.2500 0.2500
4 Ho 0.7500 0.7500 0.7500

5.
The following is a PBE-GGA calculation of a relaxed structure of Hf2TcAuC, from Alexandria via LeMat-Bulk.

Values from the calculation:
mass density = 10.835 g/cm³
energy of formation = 1444 meV/atom
relative energy among the computed polymorphs = 1.9328 eV/atom
N(E_F) = 0.876 states/eV per atom
SG = P4/mmm, No. 123
spin magnetization = 0.0 Bohr magnetons per cell

Cell lengths 5.2301, 5.2301, 3.7202 Å; angles 90.00, 90.00, 90.00 degrees
Fractional positions:
1 Hf 0.0000 0.5000 0.0000
2 Hf 0.5000 0.0000 0.0000
3 Tc 0.0000 0.0000 0.5000
4 Au 0.5000 0.5000 0.0000
5 C 0.5000 0.5000 0.5000

6.
The following is a PBE-GGA calculation of a relaxed structure of LaTiTeN2, from Alexandria via LeMat-Bulk.

Values from the calculation:
mass density = 5.955 g/cm³
formation energy (no corrections) = -0.37 eV per atom
relative energy among the computed polymorphs = 0.0000 eV/atom
N(E_F) = 0.514 states/eV per atom
SG = P4/mmm, No. 123
spin magnetization = 0.4 Bohr magnetons per cell

Cell lengths 4.2250, 4.2250, 5.3489 Å; angles 90.00, 90.00, 90.00 degrees
Fractional positions:
1 La 0.0000 0.0000 0.0000
2 Ti 0.5000 0.5000 0.5000
3 Te 0.5000 0.5000 0.0000
4 N 0.0000 0.5000 0.5000
5 N 0.5000 0.0000 0.5000